# 1
The following is a PBEsol calculation of a geometry-optimized Zn2CoSe structure, from Alexandria via LeMat-Bulk.

The space group is R-3m (No. 166, hexagonal axes) and the conventional cell measures 2.7450, 2.7450 and 27.4900 Å, with angles of 90.00, 90.00 and 120.00 degrees. Symmetry generates all atoms from Zn at (0.0000, 0.0000, 0.2355), Co at (0.0000, 0.0000, 0.5000) and Se at (0.0000, 0.0000, 0.0000).

The density comes out at 7.46 g cm⁻³. The calculation puts the total magnetization at 1.11 μB per formula unit. As for the density of states at the Fermi level: 11.19 states/eV per cell. As for the crystal system: trigonal. The calculation puts the volume at 14.95 A^3/atom. As for the uncorrected formation energy: 21.8 kJ/mol of atoms.

=====

# 2
The following is a PBEsol calculation of a geometry-optimized ZnCoSe3 structure, from Alexandria via LeMat-Bulk.

The space group is Pm-3m (No. 221) and the conventional cell measures 4.617, 4.617 and 4.617 Å, with angles of 90.00, 90.00 and 90.00 degrees. Symmetry generates all atoms from Zn at (0.000, 0.000, 0.000), Co at (0.500, 0.500, 0.500) and Se at (0.000, 0.500, 0.500).

The density comes out at 6.09 g cm⁻³. The calculation puts the total magnetization at 0.90 μB per formula unit. As for the density of states at the Fermi level: 6.52 states/eV per cell. As for the crystal system: cubic. The calculation puts the volume at 19.69 A^3/atom. As for the uncorrected formation energy: 36.1 kJ/mol of atoms.

=====

# 3
The following is a PBEsol calculation of a geometry-optimized Zr2CoSe structure, from Alexandria via LeMat-Bulk.

The space group is P2/m (No. 10) and the conventional cell measures 3.282, 3.299 and 6.408 Å, with angles of 90.00, 98.43 and 90.00 degrees. Symmetry generates all atoms from Zr at (0.031, 0.000, 0.268), Co at (0.500, 0.500, 0.500) and Se at (0.500, 0.500, 0.000).

The density comes out at 7.75 g cm⁻³. The calculation puts the total magnetization at 0.00 μB per formula unit. As for the density of states at the Fermi level: 4.32 states/eV per cell. As for the crystal system: monoclinic. The calculation puts the volume at 17.16 A^3/atom. As for the uncorrected formation energy: -55.6 kJ/mol of atoms.

=====

# 4
The following is a PBEsol calculation of a geometry-optimized ZrCo3Se structure, from Alexandria via LeMat-Bulk.

The space group is Pm-3m (No. 221) and the conventional cell measures 4.228, 4.228 and 4.228 Å, with angles of 90.00, 90.00 and 90.00 degrees. Symmetry generates all atoms from Zr at (0.000, 0.000, 0.000), Co at (0.000, 0.500, 0.500) and Se at (0.500, 0.500, 0.500).

The density comes out at 7.62 g cm⁻³. The calculation puts the total magnetization at 1.57 μB per formula unit. As for the density of states at the Fermi level: 6.09 states/eV per cell. As for the crystal system: cubic. The calculation puts the volume at 15.12 A^3/atom. As for the uncorrected formation energy: 31.5 kJ/mol of atoms.